Record 1
{"formula": "Fe5Br", "functional": "GGA-PBE", "state": "relaxed", "lattice_angstrom": [[-1.307, 6.369, 1.554], [-2.516, -5.536, -2.776], [-1.073, -0.891, 2.749]], "species": ["Fe", "Fe", "Fe", "Fe", "Fe", "Br"], "fractional_positions": [[0.000, 0.000, 0.500], [0.829, 0.171, 0.000], [0.171, 0.829, 0.000], [0.322, 0.678, 0.500], [0.678, 0.322, 0.500], [0.500, 0.500, 0.000]], "formation_energy_uncorrected_ev_per_atom": 0.43, "spacegroup": "No. 65"}



Record 2
{"formula": "KZnMo", "functional": "GGA-PBE", "state": "relaxed", "lattice_angstrom": [[6.745, 0.020, 0.000], [4.906, 4.630, 0.000], [-5.826, -2.325, 2.482]], "species": ["Mo", "K", "Zn"], "fractional_positions": [[0.281, 0.281, 0.000], [0.003, 0.003, 0.000], [0.716, 0.716, 0.000]], "ef_ev_per_atom": 0.95, "spacegroup": "No. 107"}



| no. | relative energy among the computed polymorphs (meV per atom) |
| --- | --- |
| 1 | 32 |
| 2 | 125 |